No. 1
# SmTm4Cu5

Crystalline SmTm4Cu5 at its relaxed geometry (PBE-GGA, Alexandria via LeMat-Bulk).

a = 3.4190 Å, b = 3.4190 Å, c = 17.4280 Å
α = 90.00°, β = 90.00°, γ = 90.00°
Fractional coordinates of all 10 atoms:
Sm1 0.0000 0.0000 0.0000
Tm1 0.0000 0.0000 0.2043
Tm2 0.0000 0.0000 0.4013
Tm3 0.0000 0.0000 0.5987
Tm4 0.0000 0.0000 0.7957
Cu1 0.5000 0.5000 0.1094
Cu2 0.5000 0.5000 0.3024
Cu3 0.5000 0.5000 0.5000
Cu4 0.5000 0.5000 0.6976
Cu5 0.5000 0.5000 0.8906



No. 2
# SmTmCu

Crystalline SmTmCu at its relaxed geometry (PBE-GGA, Alexandria via LeMat-Bulk).

a = 4.8600 Å, b = 4.8600 Å, c = 4.8600 Å
α = 60.00°, β = 60.00°, γ = 60.00°
Fractional coordinates of all 3 atoms:
Tm1 0.0000 0.0000 0.0000
Cu1 0.2500 0.2500 0.2500
Sm1 0.5000 0.5000 0.5000



No. 3
# SmTm2Cu2

Crystalline SmTm2Cu2 at its relaxed geometry (PBE-GGA, Alexandria via LeMat-Bulk).

a = 3.4830 Å, b = 5.0907 Å, c = 13.0168 Å
α = 90.00°, β = 97.70°, γ = 90.00°
Fractional coordinates of all 10 atoms:
Sm1 0.8574 0.7500 0.7172
Sm2 0.1426 0.2500 0.2828
Tm1 0.0463 0.7500 0.0930
Tm2 0.9537 0.2500 0.9070
Tm3 0.2305 0.7500 0.4606
Tm4 0.7695 0.2500 0.5394
Cu1 0.6414 0.7500 0.2811
Cu2 0.3586 0.2500 0.7189
Cu3 0.4556 0.7500 0.9138
Cu4 0.5444 0.2500 0.0862



No. 4
# SmTm2Cu6

Crystalline SmTm2Cu6 at its relaxed geometry (PBE-GGA, Alexandria via LeMat-Bulk).

a = 3.5611 Å, b = 7.3121 Å, c = 7.3121 Å
α = 120.00°, β = 90.00°, γ = 90.00°
Fractional coordinates of all 9 atoms:
Sm1 0.0000 0.0000 0.0000
Tm1 0.0000 0.3333 0.6667
Tm2 0.0000 0.6667 0.3333
Cu1 0.5000 0.3357 0.3357
Cu2 0.5000 0.6643 0.6643
Cu3 0.5000 0.0000 0.6643
Cu4 0.5000 0.6643 0.0000
Cu5 0.5000 0.3357 0.0000
Cu6 0.5000 0.0000 0.3357



No. 5
# SmTm2Cu2

Crystalline SmTm2Cu2 at its relaxed geometry (PBE-GGA, Alexandria via LeMat-Bulk).

a = 4.5837 Å, b = 4.9684 Å, c = 10.6450 Å
α = 96.43°, β = 90.00°, γ = 90.00°
Fractional coordinates of all 10 atoms:
Sm1 0.2500 0.6904 0.2418
Sm2 0.7500 0.3096 0.7582
Tm1 0.2500 0.8447 0.8874
Tm2 0.7500 0.1553 0.1126
Tm3 0.2500 0.2503 0.5034
Tm4 0.7500 0.7497 0.4966
Cu1 0.2500 0.7830 0.6349
Cu2 0.7500 0.2170 0.3651
Cu3 0.2500 0.3725 0.9921
Cu4 0.7500 0.6275 0.0079



No. 6
# Sm2TmCu9

Crystalline Sm2TmCu9 at its relaxed geometry (PBE-GGA, Alexandria via LeMat-Bulk).

a = 5.1511 Å, b = 5.1511 Å, c = 8.9542 Å
α = 73.28°, β = 73.28°, γ = 60.00°
Fractional coordinates of all 12 atoms:
Sm1 0.8602 0.8602 0.4194
Sm2 0.1398 0.1398 0.5806
Tm1 0.0000 0.0000 0.0000
Cu1 0.6677 0.6677 0.9969
Cu2 0.3323 0.3323 0.0031
Cu3 0.5000 0.5000 0.5000
Cu4 0.4205 0.4205 0.2405
Cu5 0.9185 0.4205 0.2405
Cu6 0.4205 0.9185 0.2405
Cu7 0.5795 0.5795 0.7595
Cu8 0.5795 0.0815 0.7595
Cu9 0.0815 0.5795 0.7595



No. 7
# Sm2TmCu

Crystalline Sm2TmCu at its relaxed geometry (PBE-GGA, Alexandria via LeMat-Bulk).

a = 3.4872 Å, b = 3.4872 Å, c = 11.1799 Å
α = 81.03°, β = 81.03°, γ = 60.00°
Fractional coordinates of all 4 atoms:
Tm1 0.0000 0.0000 0.0000
Cu1 0.5000 0.5000 0.5000
Sm1 0.1026 0.1026 0.6922
Sm2 0.8974 0.8974 0.3078



No. 8
# SmTmCu4

Crystalline SmTmCu4 at its relaxed geometry (PBE-GGA, Alexandria via LeMat-Bulk).

a = 4.2934 Å, b = 5.4688 Å, c = 5.4688 Å
α = 77.76°, β = 66.89°, γ = 66.89°
Fractional coordinates of all 6 atoms:
Sm1 0.5458 0.4542 0.4542
Tm1 0.4589 0.0411 0.0411
Cu1 0.1633 0.6412 0.0321
Cu2 0.8343 0.8658 0.4657
Cu3 0.8343 0.4657 0.8658
Cu4 0.1633 0.0321 0.6412



No. 9
# SmTm4Cu4

Crystalline SmTm4Cu4 at its relaxed geometry (PBE-GGA, Alexandria via LeMat-Bulk).

a = 5.6200 Å, b = 8.8435 Å, c = 8.8435 Å
α = 90.00°, β = 90.00°, γ = 90.00°
Fractional coordinates of all 18 atoms:
Sm1 0.0000 0.0000 0.0000
Sm2 0.5000 0.5000 0.5000
Tm1 0.4007 0.3274 0.9080
Tm2 0.9007 0.5920 0.8274
Tm3 0.4007 0.6726 0.0920
Tm4 0.0993 0.1726 0.5920
Tm5 0.5993 0.9080 0.6726
Tm6 0.0993 0.8274 0.4080
Tm7 0.9007 0.4080 0.1726
Tm8 0.5993 0.0920 0.3274
Cu1 0.6125 0.7803 0.3586
Cu2 0.6125 0.2197 0.6414
Cu3 0.1125 0.8586 0.7197
Cu4 0.8875 0.2803 0.8586
Cu5 0.8875 0.7197 0.1414
Cu6 0.3875 0.3586 0.2197
Cu7 0.3875 0.6414 0.7803
Cu8 0.1125 0.1414 0.2803



No. 10
# SmTm2Cu

Crystalline SmTm2Cu at its relaxed geometry (PBE-GGA, Alexandria via LeMat-Bulk).

a = 3.6375 Å, b = 3.6375 Å, c = 9.8297 Å
α = 79.34°, β = 79.34°, γ = 60.00°
Fractional coordinates of all 4 atoms:
Sm1 0.5012 0.5012 0.4964
Tm1 0.0654 0.0654 0.8038
Tm2 0.2676 0.2676 0.1971
Cu1 0.6658 0.6658 0.0026



No. 11
# SmTm2Cu

Crystalline SmTm2Cu at its relaxed geometry (PBE-GGA, Alexandria via LeMat-Bulk).

a = 6.4354 Å, b = 6.7741 Å, c = 9.7456 Å
α = 90.00°, β = 90.00°, γ = 90.00°
Fractional coordinates of all 16 atoms:
Sm1 0.6320 0.5083 0.2500
Sm2 0.8680 0.0083 0.2500
Sm3 0.3680 0.4917 0.7500
Sm4 0.1320 0.9917 0.7500
Tm1 0.1813 0.6825 0.0576
Tm2 0.3187 0.1825 0.4424
Tm3 0.8187 0.3175 0.5576
Tm4 0.6813 0.8175 0.9424
Tm5 0.8187 0.3175 0.9424
Tm6 0.6813 0.8175 0.5576
Tm7 0.1813 0.6825 0.4424
Tm8 0.3187 0.1825 0.0576
Cu1 0.0660 0.3966 0.2500
Cu2 0.4340 0.8966 0.2500
Cu3 0.9340 0.6034 0.7500
Cu4 0.5660 0.1034 0.7500



No. 12
# SmTm3Cu4

Crystalline SmTm3Cu4 at its relaxed geometry (PBE-GGA, Alexandria via LeMat-Bulk).

a = 3.4282 Å, b = 4.8951 Å, c = 9.7883 Å
α = 90.00°, β = 90.00°, γ = 90.00°
Fractional coordinates of all 8 atoms:
Tm1 0.5000 0.0000 0.2528
Tm2 0.5000 0.5000 0.5000
Tm3 0.5000 0.0000 0.7472
Cu1 0.0000 0.0000 0.5000
Cu2 0.0000 0.5000 0.7414
Cu3 0.0000 0.0000 0.0000
Cu4 0.0000 0.5000 0.2586
Sm1 0.5000 0.5000 0.0000



| no. | D(E_F) (states/eV/atom) | uncorrected energy (eV for the cell shown) | energy relative to the elements (eV/atom) |
| --- | --- | --- | --- |
| 1 | 0.4172 | -45.80 | -0.27 |
| 2 | 1.3029 | -13.10 | 0.06 |
| 3 | 0.8594 | -45.40 | -0.17 |
| 4 | 0.5575 | -40.49 | -0.25 |
| 5 | 1.0732 | -45.00 | -0.13 |
| 6 | 0.6205 | -52.81 | -0.17 |
| 7 | 1.6653 | -16.92 | 0.27 |
| 8 | 0.4725 | -27.13 | -0.26 |
| 9 | 1.3349 | -78.79 | -0.05 |
| 10 | 1.2163 | -17.70 | 0.02 |
| 11 | 1.2507 | -72.74 | -0.11 |
| 12 | 0.6069 | -36.58 | -0.26 |